Entry 1:
DFT (PBE-GGA) results for an optimized crystal structure of HfFe4P12.

extended XYZ file:
```
17
Lattice="6.319 0.000 -2.234 -3.160 5.473 -2.234 0.000 0.000 6.703" Properties=species:S:1:pos:R:3 pbc="T T T"
Fe -1.580 2.736 -1.117
Fe 0.000 0.000 3.351
Fe 1.580 2.736 1.117
Fe 3.160 0.000 -1.117
P 4.594 0.813 2.253
P 0.628 2.714 -0.888
P 1.593 4.385 -2.253
P 0.495 4.660 1.346
P 4.283 1.901 -1.346
P 2.664 0.813 0.888
P 2.532 2.759 3.122
P 3.318 3.572 0.018
P 1.567 1.088 4.487
P -1.434 4.660 -0.018
P -0.159 1.901 2.216
P -1.123 3.572 3.580
Hf 0.000 0.000 0.000
```

## Properties
* energy: -6.892 eV per atom
* DOS(E_F): 0.05 states/eV per atom

=====

Entry 2:
DFT (PBE-GGA) results for an optimized crystal structure of HfFe2P2.

extended XYZ file:
```
10
Lattice="3.780 0.000 0.000 0.000 3.948 0.070 0.000 -0.804 8.567" Properties=species:S:1:pos:R:3 pbc="T T T"
Fe 2.835 0.617 0.837
Fe 0.945 0.589 4.298
Fe 2.835 2.555 4.339
Fe 0.945 2.527 7.800
P 2.835 2.651 0.094
P 0.945 0.492 8.543
P 2.835 0.611 3.086
P 0.945 2.533 5.551
Hf 2.835 0.515 6.361
Hf 0.945 2.629 2.277
```

## Properties
* energy: -8.351 eV per atom
* DOS(E_F): 0.46 states/eV per atom

=====

- What is the formula in the first record?
  HfFe4P12

=====

- What is the DOS(E_F) in the second record?
  0.46 states/eV per atom